Record 1
The following is a DFT calculation (PBE) of a relaxed TcAsPdO crystal.

Cell: 4.191 4.191 6.419 Å, 90.00 90.00 90.00°
Element x y z (fractional)
As1 0.000 0.500 0.306
As2 0.500 0.000 0.694
O1 0.000 0.000 0.000
O2 0.500 0.500 0.000
Pd1 0.500 0.000 0.089
Pd2 0.000 0.500 0.911
Tc1 0.000 0.000 0.500
Tc2 0.500 0.500 0.500

Output
ΔE to the lowest computed polymorph, meV/atom: 442

***

Record 2
The following is a DFT calculation (PBE) of a relaxed Sm5UN6 crystal.

Cell: 6.119 6.119 6.116 Å, 99.61 99.61 119.96°
Element x y z (fractional)
N1 0.382 0.078 0.233
N2 0.078 0.382 0.233
N3 0.773 0.773 0.233
N4 0.227 0.227 0.767
N5 0.922 0.618 0.767
N6 0.618 0.922 0.767
Sm1 0.666 0.334 0.000
Sm2 0.334 0.666 0.000
Sm3 0.833 0.167 0.500
Sm4 0.500 0.500 0.500
Sm5 0.167 0.833 0.500
U1 0.000 0.000 0.000

***

Record 3
The following is a DFT calculation (PBE) of a relaxed HfMgCuSi crystal.

Cell: 4.524 4.524 4.524 Å, 60.00 60.00 60.00°
Element x y z (fractional)
Cu1 0.750 0.750 0.750
Hf1 0.250 0.250 0.250
Mg1 0.500 0.500 0.500
Si1 0.000 0.000 0.000

Output
ΔE to the lowest computed polymorph, meV/atom: 0

***

Record 4
The following is a DFT calculation (PBE) of a relaxed NiSbPd2 crystal.

Cell: 4.456 4.456 4.456 Å, 60.00 60.00 60.00°
Element x y z (fractional)
Ni1 0.250 0.250 0.250
Pd1 0.000 0.000 0.000
Pd2 0.750 0.750 0.750
Sb1 0.500 0.500 0.500

***

Number 1: calculated total energy -49.962 eV/cell. Number 2: calculated total energy -103.116 eV/cell. Number 3: calculated total energy -20.125 eV/cell. Number 4: calculated total energy -21.034 eV/cell.